This record from the Alexandria database describes a geometry-optimized TlTe2S structure. The functional is PBE.

Structure (POSCAR):
```
TlTe2S
1.0
1.798 1.038 10.586
-1.798 1.038 10.586
0.000 -2.076 10.586
Tl Te S
1 2 1
Direct
0.000 0.000 0.000 Tl
0.422 0.422 0.422 Te
0.578 0.578 0.578 Te
0.500 0.500 0.500 S
```

=====

This record from the Alexandria database describes a geometry-optimized Tl3TeS structure. The functional is PBE.

Structure (POSCAR):
```
Tl3TeS
1.0
5.882 0.000 0.000
0.528 7.065 0.000
2.640 0.188 8.256
Tl Te S
6 2 2
Direct
0.177 0.407 0.114 Tl
0.258 0.714 0.448 Tl
0.278 0.973 0.842 Tl
0.722 0.027 0.158 Tl
0.742 0.286 0.552 Tl
0.823 0.593 0.886 Tl
0.287 0.246 0.457 Te
0.713 0.754 0.543 Te
0.395 0.757 0.116 S
0.605 0.243 0.884 S
```

=====

This record from the Alexandria database describes a geometry-optimized Tl3TeS structure. The functional is PBE.

Structure (POSCAR):
```
Tl3TeS
1.0
7.740 0.000 0.000
0.000 5.272 0.000
-3.341 0.000 9.902
Tl Te S
6 2 2
Direct
0.043 0.250 0.134 Tl
0.269 0.750 0.446 Tl
0.442 0.750 0.850 Tl
0.558 0.250 0.150 Tl
0.731 0.250 0.554 Tl
0.957 0.750 0.866 Tl
0.202 0.250 0.874 Te
0.798 0.750 0.126 Te
0.372 0.250 0.340 S
0.628 0.750 0.660 S
```

=====

This record from the Alexandria database describes a geometry-optimized Tl8TeS3 structure. The functional is PBE.

Structure (POSCAR):
```
Tl8TeS3
1.0
6.862 -4.335 0.000
6.862 4.335 0.000
-4.142 0.000 6.993
Tl Te S
8 1 3
Direct
0.230 0.769 0.731 Tl
0.231 0.231 0.728 Tl
0.231 0.770 0.269 Tl
0.253 0.253 0.247 Tl
0.747 0.747 0.753 Tl
0.769 0.230 0.731 Tl
0.769 0.769 0.272 Tl
0.770 0.231 0.269 Tl
0.500 0.500 0.000 Te
0.000 0.000 0.000 S
0.000 0.500 0.500 S
0.500 0.000 0.500 S
```

=====

no.,raw formation energy (meV per atom),raw total energy (eV/cell)
1,264,-11.72
2,-252,-31.25
3,-215,-30.88
4,-314,-38.23